A plane-wave DFT calculation with PBE was carried out for crystalline TaPtI2O at its relaxed geometry.

crystal system = tetragonal
offset from the most stable computed form = 859 meV per atom
raw formation energy = 72 kJ per mole of atoms
magnetic moment = 3.31 μB/cell

a = 5.6323 Å, b = 5.6323 Å, c = 3.7622 Å
α = 90.00°, β = 90.00°, γ = 90.00°
Atoms (fractional coordinates):
Ta1 0.0000 0.0000 0.0000
Pt1 0.5000 0.5000 0.5000
I1 0.0000 0.5000 0.5000
I2 0.5000 0.0000 0.5000
O1 0.5000 0.5000 0.0000